# TeMoSe2

Crystalline TeMoSe2 at its relaxed geometry (GGA-PBE, the Alexandria database).

Properties
The calculation puts the formation energy without anion corrections at 2.358 eV per formula unit. Its density of states at the Fermi level is 0.6561 states/eV/atom. As for the space group: P4/mmm, No. 123.

Cell: 3.316 4.873 4.873 Å, 90.00 90.00 90.00°
Fractional positions:
Mo (0.500, 0.000, 0.500)
Se (0.000, 0.000, 0.000)
Se (0.000, 0.500, 0.500)
Te (0.500, 0.500, 0.000)